## ScAlTcRh (PBE-GGA)

Data for a geometry-optimized ScAlTcRh structure.

uncorrected energy	-7.531	eV/atom

a b c (Å): 6.260 6.260 6.260
angles (deg): 90.00 90.00 90.00
Space group F-43m (No. 216)
One atom of each set of equivalent atoms:
1 Sc 0.000 0.000 0.000 (multiplicity 4)
2 Al 0.000 0.000 0.500 (multiplicity 4)
3 Tc 0.250 0.250 0.750 (multiplicity 4)
4 Rh 0.250 0.250 0.250 (multiplicity 4)

---

## Tm4Ag2HgAu (PBE-GGA)

Data for a geometry-optimized Tm4Ag2HgAu structure.

uncorrected energy	-3.910	eV/atom

a b c (Å): 5.0930 5.0930 24.9012
angles (deg): 90.00 90.00 120.00
Space group R-3m (No. 166, hexagonal axes)
One atom of each set of equivalent atoms:
1 Tm 0.0000 0.0000 0.1221 (multiplicity 6)
2 Tm 0.0000 0.0000 0.3723 (multiplicity 6)
3 Ag 0.0000 0.0000 0.2470 (multiplicity 6)
4 Hg 0.0000 0.0000 0.5000 (multiplicity 3)
5 Au 0.0000 0.0000 0.0000 (multiplicity 3)

---

## Ca2ScHg (PBE-GGA)

Data for a geometry-optimized Ca2ScHg structure.

uncorrected energy	-2.744	eV/atom

a b c (Å): 5.061 5.061 4.417
angles (deg): 90.00 90.00 90.00
Space group P4/mmm (No. 123)
One atom of each set of equivalent atoms:
1 Ca 0.000 0.500 0.000 (multiplicity 2)
2 Sc 0.000 0.000 0.500 (multiplicity 1)
3 Hg 0.500 0.500 0.500 (multiplicity 1)

---

## PmHo6Er2 (PBE-GGA)

Data for a geometry-optimized PmHo6Er2 structure.

energy above the lowest structure with this stoichiometry	49.7	meV per atom

a b c (Å): 28.946 5.581 3.467
angles (deg): 90.00 90.02 90.00
Space group C2/m (No. 12)
One atom of each set of equivalent atoms:
1 Pm 0.000 0.000 0.000 (multiplicity 2)
2 Ho 0.057 0.500 0.500 (multiplicity 4)
3 Ho 0.113 0.000 0.498 (multiplicity 4)
4 Ho 0.223 0.000 0.500 (multiplicity 4)
5 Er 0.167 0.500 0.999 (multiplicity 4)

---

## Y2MgScRu (PBE-GGA)

Data for a geometry-optimized Y2MgScRu structure.

uncorrected energy	-6.108	eV/atom

a b c (Å): 5.382 5.382 5.004
angles (deg): 90.00 90.00 90.00
Space group P4/mmm (No. 123)
One atom of each set of equivalent atoms:
1 Y 0.000 0.500 0.000 (multiplicity 2)
2 Mg 0.000 0.000 0.500 (multiplicity 1)
3 Sc 0.500 0.500 0.500 (multiplicity 1)
4 Ru 0.500 0.500 0.000 (multiplicity 1)

---

## CaOsSe2 (PBE-GGA)

Data for a geometry-optimized CaOsSe2 structure.

formation energy from raw total energies	-38.1	kJ per mole of atoms
energy above the lowest structure with this stoichiometry	242.0	meV per atom

a b c (Å): 4.829 3.876 4.963
angles (deg): 90.00 101.19 90.00
Space group P2/m (No. 10)
One atom of each set of equivalent atoms:
1 Ca 0.000 0.000 0.000 (multiplicity 1)
2 Os 0.500 0.000 0.500 (multiplicity 1)
3 Se 0.310 0.500 0.704 (multiplicity 2)

---

## TmCoSi2 (PBE-GGA)

Data for a geometry-optimized TmCoSi2 structure.

formation energy from raw total energies	-74.7	kJ per mole of atoms

a b c (Å): 3.957 16.317 3.936
angles (deg): 90.00 90.00 90.00
Space group Cmcm (No. 63)
One atom of each set of equivalent atoms:
1 Tm 0.000 0.109 0.250 (multiplicity 4)
2 Co 0.000 0.323 0.250 (multiplicity 4)
3 Si 0.000 0.250 0.750 (multiplicity 4)
4 Si 0.000 0.458 0.250 (multiplicity 4)

---

## Li2ZrHg (PBE-GGA)

Data for a geometry-optimized Li2ZrHg structure.

uncorrected energy	-3.189	eV/atom

a b c (Å): 9.816 2.886 5.514
angles (deg): 90.00 96.81 90.00
Space group C2/m (No. 12)
One atom of each set of equivalent atoms:
1 Li 0.242 0.000 0.229 (multiplicity 4)
2 Zr 0.000 0.000 0.500 (multiplicity 2)
3 Hg 0.000 0.500 0.000 (multiplicity 2)

---

## Sr2Mg4SnPb3 (PBE-GGA)

Data for a geometry-optimized Sr2Mg4SnPb3 structure.

uncorrected energy	-2.820	eV/atom

a b c (Å): 4.875 4.875 12.405
angles (deg): 90.00 90.00 90.00
Space group P-4m2 (No. 115)
One atom of each set of equivalent atoms:
1 Sr 0.000 0.500 0.246 (multiplicity 2)
2 Mg 0.000 0.000 0.500 (multiplicity 1)
3 Mg 0.000 0.500 0.865 (multiplicity 2)
4 Mg 0.500 0.500 0.500 (multiplicity 1)
5 Sn 0.500 0.500 0.000 (multiplicity 1)
6 Pb 0.000 0.000 0.000 (multiplicity 1)
7 Pb 0.000 0.500 0.638 (multiplicity 2)

---

## Ti4Zn2N (PBE-GGA)

Data for a geometry-optimized Ti4Zn2N structure.

formation energy from raw total energies	-52.7	kJ per mole of atoms
energy above the lowest structure with this stoichiometry	71.9	meV per atom

a b c (Å): 7.180 9.846 3.008
angles (deg): 90.00 90.00 90.00
Space group Pbam (No. 55)
One atom of each set of equivalent atoms:
1 Ti 0.137 0.186 0.000 (multiplicity 4)
2 Ti 0.169 0.929 0.500 (multiplicity 4)
3 Zn 0.055 0.632 0.500 (multiplicity 4)
4 N 0.000 0.000 0.000 (multiplicity 2)

---

## AcSc4B3O12 (PBE-GGA)

Data for a geometry-optimized AcSc4B3O12 structure.

formation energy from raw total energies	-238.3	kJ per mole of atoms

a b c (Å): 7.446 7.446 7.446
angles (deg): 90.00 90.00 90.00
Space group Im-3 (No. 204)
One atom of each set of equivalent atoms:
1 Ac 0.000 0.000 0.000 (multiplicity 2)
2 Sc 0.250 0.250 0.250 (multiplicity 8)
3 B 0.000 0.000 0.500 (multiplicity 6)
4 O 0.000 0.149 0.342 (multiplicity 24)

---

## SnBRh3 (PBE-GGA)

Data for a geometry-optimized SnBRh3 structure.

uncorrected energy	-6.856	eV/atom

a b c (Å): 10.867 10.867 10.867
angles (deg): 90.00 90.00 90.00
Space group Fd-3m (No. 227, origin choice 2)
One atom of each set of equivalent atoms:
1 Sn 0.000 0.000 0.000 (multiplicity 16)
2 B 0.000 0.000 0.500 (multiplicity 16)
3 Rh 0.078 0.375 0.875 (multiplicity 48)